i) NaUTa | OQMD | PBE-GGA | relaxed; total moment = 0.4 μB/cell; crystal system = cubic; symmetry = F-43m (216)
1.0
-0.7106 1.8609 4.2200
-4.1325 1.8981 1.0473
-2.8389 -2.1200 3.0369
Na Ta U
1 1 1
Cartesian
-5.7615 1.2293 6.2282
0.0000 0.0000 0.0000
-1.9205 0.4098 2.0761

ii) NaUTa | OQMD | PBE-GGA | relaxed; total moment = 1.6 μB/cell; crystal system = cubic; symmetry = F-43m (216)
1.0
4.1928 -2.1312 0.1343
0.6438 -3.7533 2.7635
0.5331 -4.2659 -1.9124
U Na Ta
1 1 1
Cartesian
0.0000 0.0000 0.0000
1.3424 -2.5376 0.2464
4.0273 -7.6128 0.7391

Quick ranking, most stable first: i), ii).